(1)
Entry from the Open Quantum Materials Database: RbZrAg3S4 after structural relaxation (PBE).

Calculated values
Total moment   0.01 μB per formula unit
Total DFT energy (no corrections)   -4.60 eV per atom

The structure in POSCAR format:
```
RbZrAg3S4
1.0
6.2160 0.0000 0.0000
0.0000 7.8271 0.0000
-2.9924 0.0000 9.8760
Ag S Zr Rb
6 8 2 2
direct
0.0898 0.2500 0.2335
0.7863 0.5475 0.5185
0.9103 0.7500 0.7665
0.2137 0.0475 0.4815
0.7863 0.9525 0.5185
0.2137 0.4525 0.4815
0.1459 0.4953 0.7245
0.8541 0.9953 0.2755
0.6691 0.7500 0.9134
0.3309 0.2500 0.0866
0.1459 0.0047 0.7245
0.4416 0.7500 0.4828
0.5584 0.2500 0.5172
0.8541 0.5047 0.2755
0.6351 0.2500 0.2930
0.3649 0.7500 0.7070
0.7014 0.2500 0.8686
0.2986 0.7500 0.1313
```



(2)
Entry from the Open Quantum Materials Database: Li6Cd2O7 after structural relaxation (PBE).

Calculated values
Total DFT energy (no corrections)   -4.38 eV per atom

The structure in POSCAR format:
```
Li6Cd2O7
1.0
-4.3429 -2.1731 2.1490
4.2511 -4.1682 -0.0082
2.1677 2.1345 4.2529
O Li Cd
7 6 2
direct
0.2572 0.5486 0.3747
0.7296 0.1966 0.1039
0.2428 0.0764 0.3753
0.7704 0.4284 0.6461
0.2500 0.8125 0.8750
0.7312 0.6690 0.1202
0.7688 0.9560 0.6298
0.9717 0.9809 0.0069
0.5254 0.1178 0.7448
0.5247 0.3759 0.2928
0.9746 0.5072 0.0052
0.5283 0.6441 0.7431
0.9753 0.2491 0.4572
0.0012 0.7436 0.5040
0.4988 0.8814 0.2460
```



(3)
Entry from the Open Quantum Materials Database: HfFeAsOs after structural relaxation (PBE).

Calculated values
Total moment   0.86 μB per formula unit
Total DFT energy (no corrections)   -8.62 eV per atom

The structure in POSCAR format:
```
HfFeAsOs
1.0
0.0000 3.1132 3.1132
3.1132 0.0000 3.1132
3.1132 3.1132 0.0000
Os Hf Fe As
1 1 1 1
direct
0.2500 0.2500 0.2500
0.5000 0.5000 0.5000
0.7500 0.7500 0.7500
0.0000 0.0000 0.0000
```



(4)
Entry from the Open Quantum Materials Database: Pu3TcGe5 after structural relaxation (PBE).

Calculated values
Total moment   15.70 μB per formula unit
Total DFT energy (no corrections)   -8.91 eV per atom

The structure in POSCAR format:
```
Pu3TcGe5
1.0
-5.4059 4.6696 4.6304
0.9896 -8.2854 1.6856
4.1826 1.2388 3.6337
Pu Ge Tc
6 10 2
direct
0.0000 0.6115 0.2500
0.3885 0.3885 0.2500
0.6115 0.6115 0.7500
0.3885 0.0000 0.7500
0.6115 0.0000 0.2500
0.0000 0.3885 0.7500
0.6667 0.3333 0.0000
0.2547 0.2547 0.7500
0.7453 0.0000 0.7500
0.7453 0.7453 0.2500
0.0000 0.2547 0.2500
0.2547 0.0000 0.2500
0.0000 0.7453 0.7500
0.3333 0.6667 0.0000
0.6667 0.3333 0.5000
0.3333 0.6667 0.5000
0.0000 0.0000 0.0000
0.0000 0.0000 0.5000
```



(5)
Entry from the Open Quantum Materials Database: Y5Er2Tm after structural relaxation (PBE).

Calculated values
Total moment   0.32 μB per formula unit
Total DFT energy (no corrections)   -5.74 eV per atom

The structure in POSCAR format:
```
Y5Er2Tm
1.0
-2.5043 3.1668 3.9029
0.5177 -5.4348 4.7420
5.8452 -0.5763 4.2182
Y Er Tm
5 2 1
direct
0.0000 0.6662 0.1666
0.0000 0.1666 0.6662
0.5000 0.8329 0.8329
0.5000 0.8337 0.3337
0.5000 0.3337 0.8337
0.5000 0.3327 0.3327
0.0000 0.6670 0.6670
0.0000 0.1672 0.1672
```



(6)
Entry from the Open Quantum Materials Database: Hf4GeSbC2 after structural relaxation (PBE).

Calculated values
Total moment   0.00 μB per formula unit
Total DFT energy (no corrections)   -9.15 eV per atom

The structure in POSCAR format:
```
Hf4GeSbC2
1.0
-3.3112 0.4851 -0.0312
1.5941 -0.4766 2.9038
1.9791 13.5813 1.1425
C Hf Sb Ge
2 4 1 1
direct
0.3333 0.6667 0.7558
0.3333 0.6667 0.2442
0.0000 0.0000 0.3334
0.0000 0.0000 0.6666
0.6667 0.3333 0.8453
0.6667 0.3333 0.1547
0.6667 0.3333 0.5000
0.0000 0.0000 0.0000
```



(7)
Entry from the Open Quantum Materials Database: Ba2TbSnO6 after structural relaxation (PBE).

Calculated values
Total moment   1.00 μB per formula unit
Total DFT energy (no corrections)   -6.70 eV per atom

The structure in POSCAR format:
```
Ba2TbSnO6
1.0
-3.7346 0.3520 4.7516
-0.6564 -4.7540 3.6911
2.2590 0.1996 5.6143
Ba Tb O Sn
2 1 6 1
direct
0.7500 0.2501 0.2499
0.2500 0.7499 0.7501
0.0000 0.5000 0.5000
0.7392 0.7768 0.7420
0.7521 0.7518 0.2292
0.7309 0.2504 0.7656
0.2608 0.2232 0.2580
0.2691 0.7496 0.2344
0.2479 0.2482 0.7708
0.5000 0.0000 0.0000
```



(8)
Entry from the Open Quantum Materials Database: Co4W9 after structural relaxation (PBE).

Calculated values
Total moment   0.18 μB per formula unit
Total DFT energy (no corrections)   -10.58 eV per atom

The structure in POSCAR format:
```
Co4W9
1.0
2.5605 1.4783 8.9411
-2.5605 1.4783 8.9411
0.0000 -2.9566 8.9411
W Co
9 4
direct
0.0890 0.0890 0.5851
0.9110 0.4149 0.9110
0.0890 0.5851 0.0890
0.4149 0.9110 0.9110
0.8320 0.8320 0.8320
0.5851 0.0890 0.0890
0.1680 0.1680 0.1680
0.0000 0.0000 0.0000
0.9110 0.9110 0.4149
0.4538 0.4538 0.4538
0.3479 0.3479 0.3479
0.6521 0.6521 0.6521
0.5462 0.5462 0.5462
```



(9)
Entry from the Open Quantum Materials Database: LiBiIr after structural relaxation (PBE).

Calculated values
Total moment   0.00 μB per formula unit
Total DFT energy (no corrections)   -4.98 eV per atom

The structure in POSCAR format:
```
LiBiIr
1.0
0.0000 3.1416 3.1416
3.1416 0.0000 3.1416
3.1416 3.1416 0.0000
Li Bi Ir
1 1 1
direct
0.7500 0.7500 0.7500
0.2500 0.2500 0.2500
0.0000 0.0000 0.0000
```



(10)
Entry from the Open Quantum Materials Database: TbGd2Sn4Pb3 after structural relaxation (PBE).

Calculated values
Total moment   0.01 μB per formula unit
Total DFT energy (no corrections)   -4.57 eV per atom

The structure in POSCAR format:
```
TbGd2Sn4Pb3
1.0
-8.3844 9.7764 -2.1799
8.0493 -8.0140 6.4508
3.5482 2.8435 -0.8949
Sn Tb Pb Gd
4 1 3 2
direct
0.4041 0.5959 0.0000
0.5959 0.4041 0.0000
0.0963 0.9037 0.5000
0.9037 0.0963 0.5000
0.0000 0.0000 0.0000
0.5000 0.5000 0.5000
0.2935 0.7065 0.5000
0.7065 0.2935 0.5000
0.8150 0.1850 0.0000
0.1850 0.8150 0.0000
```



(11)
Entry from the Open Quantum Materials Database: NdZrSc after structural relaxation (PBE).

Calculated values
Total moment   1.97 μB per formula unit
Total DFT energy (no corrections)   -5.73 eV per atom

The structure in POSCAR format:
```
NdZrSc
1.0
4.3121 -2.5998 0.8001
0.8205 -2.2535 4.4990
-0.1187 -5.0839 0.3639
Sc Zr Nd
1 1 1
direct
0.7500 0.7500 0.7500
0.0000 0.0000 0.0000
0.2500 0.2500 0.2500
```



(12)
Entry from the Open Quantum Materials Database: NaErNiSe3 after structural relaxation (PBE).

Calculated values
Total moment   0.89 μB per formula unit
Total DFT energy (no corrections)   -4.75 eV per atom

The structure in POSCAR format:
```
NaErNiSe3
1.0
3.9198 0.0000 0.0000
1.9599 6.9213 0.0000
0.0000 0.0000 10.2834
Se Ni Er Na
6 2 2 2
direct
0.6332 0.7336 0.4177
0.6332 0.7336 0.0823
0.3668 0.2664 0.5823
0.0862 0.8275 0.7500
0.3668 0.2664 0.9177
0.9138 0.1725 0.2500
0.4843 0.0314 0.7500
0.5157 0.9686 0.2500
0.0000 0.0000 0.0000
0.0000 0.0000 0.5000
0.2456 0.5087 0.2500
0.7544 0.4913 0.7500
```



(13)
Entry from the Open Quantum Materials Database: TaCoBiIr after structural relaxation (PBE).

Calculated values
Total moment   0.71 μB per formula unit
Total DFT energy (no corrections)   -7.56 eV per atom

The structure in POSCAR format:
```
TaCoBiIr
1.0
0.0000 3.2343 3.2343
3.2343 0.0000 3.2343
3.2343 3.2343 0.0000
Co Ta Ir Bi
1 1 1 1
direct
0.7500 0.7500 0.7500
0.2500 0.2500 0.2500
0.5000 0.5000 0.5000
0.0000 0.0000 0.0000
```



(14)
Entry from the Open Quantum Materials Database: Dy2Y3Hg3 after structural relaxation (PBE).

Calculated values
Total moment   0.53 μB per formula unit
Total DFT energy (no corrections)   -3.88 eV per atom

The structure in POSCAR format:
```
Dy2Y3Hg3
1.0
-2.5016 1.4529 -4.7819
-3.2397 -5.5520 0.0079
-5.5124 0.9416 3.1698
Y Hg Dy
3 3 2
direct
0.5000 0.1351 0.1351
0.0000 0.8375 0.3227
0.0000 0.3227 0.8375
0.0000 0.8321 0.8321
0.5000 0.6209 0.2146
0.5000 0.2146 0.6209
0.5000 0.6998 0.6998
0.0000 0.3372 0.3372
```



(15)
Entry from the Open Quantum Materials Database: PrAlNiPd after structural relaxation (PBE).

Calculated values
Total moment   0.00 μB per formula unit
Total DFT energy (no corrections)   -5.49 eV per atom

The structure in POSCAR format:
```
PrAlNiPd
1.0
4.2970 0.0000 0.0000
-2.1485 3.7213 0.0000
0.0000 0.0000 9.6798
Al Ni Pr Pd
2 2 2 2
direct
0.0000 0.0000 0.0000
0.0000 0.0000 0.5000
0.3333 0.6667 0.9488
0.6667 0.3333 0.0512
0.3333 0.6667 0.2381
0.6667 0.3333 0.7619
0.6667 0.3333 0.4283
0.3333 0.6667 0.5717
```



(16)
Entry from the Open Quantum Materials Database: LaNd2Si4Pt4 after structural relaxation (PBE).

Calculated values
Total moment   0.01 μB per formula unit
Total DFT energy (no corrections)   -6.60 eV per atom

The structure in POSCAR format:
```
LaNd2Si4Pt4
1.0
-2.1272 2.1345 12.1897
2.1272 -2.1345 12.1897
2.1272 2.1345 -12.1897
Si Pt Nd La
4 4 2 1
direct
0.5498 0.5498 0.0000
0.8035 0.3035 0.5000
0.4502 0.4502 0.0000
0.1965 0.6965 0.5000
0.9022 0.4022 0.5000
0.2469 0.2469 0.0000
0.0978 0.5978 0.5000
0.7531 0.7531 0.0000
0.3536 0.8536 0.5000
0.6464 0.1464 0.5000
0.0000 0.0000 0.0000
```



(17)
Entry from the Open Quantum Materials Database: AgBPd after structural relaxation (PBE).

Calculated values
Total DFT energy (no corrections)   -3.88 eV per atom

The structure in POSCAR format:
```
AgBPd
1.0
-3.3900 -1.2439 1.9163
-3.3700 2.3118 -0.1006
-3.2462 -1.2122 -2.1690
Pd Ag B
1 1 1
direct
0.0000 0.0000 0.0000
0.2500 0.2500 0.2500
0.7500 0.7500 0.7500
```



(18)
Entry from the Open Quantum Materials Database: Cu5Ag4 after structural relaxation (PBE).

Calculated values
Total DFT energy (no corrections)   -3.23 eV per atom

The structure in POSCAR format:
```
Cu5Ag4
1.0
-4.9398 2.2665 4.6857
-5.4356 -0.5090 4.6572
7.5319 -1.3667 2.0694
Ag Cu
4 5
direct
0.2199 0.2199 0.3148
0.4516 0.4516 0.6648
0.7801 0.7801 0.6852
0.5484 0.5484 0.3352
0.3314 0.3314 0.0126
0.0000 0.0000 0.0000
0.8830 0.8830 0.3182
0.1170 0.1170 0.6818
0.6686 0.6686 0.9874
```



(19)
Entry from the Open Quantum Materials Database: Nd2Ho2CBr3Cl2 after structural relaxation (PBE).

Calculated values
Total moment   0.27 μB per formula unit
Total DFT energy (no corrections)   -5.20 eV per atom

The structure in POSCAR format:
```
Nd2Ho2CBr3Cl2
1.0
-6.0960 5.1230 4.4664
-8.2853 2.3708 3.0147
2.7209 -5.1306 5.6232
Cl Ho Nd C Br
2 2 2 1 3
direct
0.1552 0.1552 0.3443
0.8448 0.8448 0.6557
0.9995 0.9995 0.7979
0.0005 0.0005 0.2021
0.3546 0.3546 0.9180
0.6454 0.6454 0.0820
0.5000 0.5000 0.0000
0.1656 0.1656 0.8090
0.8344 0.8344 0.1910
0.5000 0.5000 0.5000
```



(20)
Entry from the Open Quantum Materials Database: NbSI after structural relaxation (PBE).

Calculated values
Total moment   0.50 μB per formula unit
Total DFT energy (no corrections)   -6.10 eV per atom

The structure in POSCAR format:
```
NbSI
1.0
7.6082 -0.2475 -0.5922
3.9360 -5.4476 3.6233
3.3390 -5.5902 -3.9872
I Nb S
4 4 4
direct
0.3787 0.8738 0.8738
0.8738 0.3787 0.8738
0.8738 0.8738 0.3787
0.8738 0.8738 0.8738
0.5973 0.5973 0.5973
0.5973 0.2081 0.5973
0.2081 0.5973 0.5973
0.5973 0.5973 0.2081
0.3753 0.3753 0.8742
0.8742 0.3753 0.3753
0.3753 0.8742 0.3753
0.3753 0.3753 0.3753
```



(21)
Entry from the Open Quantum Materials Database: BaZnCdGa2 after structural relaxation (PBE).

Calculated values
Total DFT energy (no corrections)   -2.37 eV per atom

The structure in POSCAR format:
```
BaZnCdGa2
1.0
1.3807 -6.0454 -1.8655
-2.9674 -4.9763 2.8922
-1.6004 5.6488 -2.7320
Zn Ga Ba Cd
1 2 1 1
direct
0.7500 0.2500 0.5000
0.3836 0.3836 0.0000
0.6164 0.6164 0.0000
0.0000 0.0000 0.0000
0.2500 0.7500 0.5000
```



(22)
Entry from the Open Quantum Materials Database: Rb2NbInSe6 after structural relaxation (PBE).

Calculated values
Total moment   0.01 μB per formula unit
Total DFT energy (no corrections)   -4.23 eV per atom

The structure in POSCAR format:
```
Rb2NbInSe6
1.0
7.1010 0.0000 0.0000
-3.5505 6.1497 0.0000
0.0000 0.0000 14.9072
Rb In Se Nb
4 2 12 2
direct
0.6667 0.3333 0.9205
0.3333 0.6667 0.4205
0.3333 0.6667 0.0795
0.6667 0.3333 0.5795
0.0000 0.0000 0.2500
0.0000 0.0000 0.7500
0.8240 0.6475 0.1348
0.6475 0.8240 0.6348
0.3525 0.1760 0.3652
0.6475 0.8235 0.8652
0.1765 0.3525 0.6348
0.3525 0.1765 0.1348
0.8235 0.6475 0.3652
0.1760 0.8235 0.6348
0.1760 0.3525 0.8652
0.8235 0.1760 0.1348
0.1765 0.8240 0.8652
0.8240 0.1765 0.3652
0.3333 0.6667 0.7500
0.6667 0.3333 0.2500
```



(23)
Entry from the Open Quantum Materials Database: NiGeIrPd after structural relaxation (PBE).

Calculated values
Total moment   0.00 μB per formula unit
Total DFT energy (no corrections)   -5.95 eV per atom

The structure in POSCAR format:
```
NiGeIrPd
1.0
0.0000 3.0418 3.0418
3.0418 0.0000 3.0418
3.0418 3.0418 0.0000
Ni Ir Ge Pd
1 1 1 1
direct
0.7500 0.7500 0.7500
0.5000 0.5000 0.5000
0.0000 0.0000 0.0000
0.2500 0.2500 0.2500
```